# Cr2SiNO, optimized geometry, DFT GGA+U
data_Cr2SiNO
_cell_length_a 4.886
_cell_length_b 3.361
_cell_length_c 4.886
_cell_angle_alpha 90.00
_cell_angle_beta 90.00
_cell_angle_gamma 90.00
_space_group_name_H-M_alt 'P 1'
_space_group_IT_number 1
_space_group_name_Hall 'P 1'
loop_
_atom_site_label
_atom_site_fract_x
_atom_site_fract_y
_atom_site_fract_z
Cr1 0.000 0.000 0.500
Cr2 0.500 0.000 0.000
O1 0.500 0.500 0.500
Si1 0.000 0.000 0.000
N1 0.000 0.500 0.000
# Magnetic moment   8.4 μB/f.u.
# Raw total energy   -30.2 eV per cell